(1)
KTi6S12: relaxed, PBE.

a b c (Å): 7.5125 7.5125 7.5125
angles (deg): 105.75 105.75 105.75
Closest atoms and distances in Å follow each position.
Fractional positions:
K: 0.0000 0.0000 0.0000  18 S 3.62-4.03
Ti: 0.2569 0.2569 0.6393  5 S 2.37-2.54
Ti: 0.2569 0.6393 0.2569  5 S 2.37-2.54
Ti: 0.3607 0.7431 0.7431  5 S 2.37-2.54
Ti: 0.6393 0.2569 0.2569  5 S 2.37-2.54
Ti: 0.7431 0.3607 0.7431  5 S 2.37-2.54
Ti: 0.7431 0.7431 0.3607  5 S 2.37-2.54
S: 0.1221 0.5000 0.8779  4 Ti 2.54-2.79
S: 0.1221 0.8779 0.5000  4 Ti 2.54-2.79
S: 0.1714 0.4420 0.4420  3 Ti 2.37-2.45
S: 0.4420 0.1714 0.4420  3 Ti 2.37-2.45
S: 0.4420 0.4420 0.1714  3 Ti 2.37-2.45
S: 0.5000 0.1221 0.8779  4 Ti 2.54-2.79
S: 0.5000 0.8779 0.1221  4 Ti 2.54-2.79
S: 0.5580 0.5580 0.8286  3 Ti 2.37-2.45
S: 0.5580 0.8286 0.5580  3 Ti 2.37-2.45
S: 0.8286 0.5580 0.5580  3 Ti 2.37-2.45
S: 0.8779 0.1221 0.5000  4 Ti 2.54-2.79
S: 0.8779 0.5000 0.1221  4 Ti 2.54-2.79

Computed properties:
- DOS at the Fermi energy: 0.37 states/eV per atom
- E_form (uncorrected): -0.99 eV/atom
- Space-group type: R-3m, No. 166

***

(2)
ErCuHg2: relaxed, PBE.

a b c (Å): 3.4099 3.4099 7.1503
angles (deg): 90.00 90.00 90.00
Closest atoms and distances in Å follow each position.
Fractional positions:
Er: 0.0000 0.0000 0.0000  8 Hg 3.15, 4 Er 3.41
Cu: 0.0000 0.0000 0.5000  8 Hg 2.86
Hg: 0.5000 0.5000 0.2842  4 Cu 2.86, 1 Hg 3.09, 4 Er 3.15
Hg: 0.5000 0.5000 0.7158  4 Cu 2.86, 1 Hg 3.09, 4 Er 3.15

Computed properties:
- ΔE_f: -0.150 eV per atom
- DOS at the Fermi energy: 0.54 states/eV per atom
- Space-group type: P4/mmm, No. 123

***

(3)
NaIn3: relaxed, PBE.

a b c (Å): 6.2415 6.2415 6.2415
angles (deg): 116.94 116.94 116.94
Closest atoms and distances in Å follow each position.
Fractional positions:
Na: 0.0000 0.0000 0.0000  6 In 3.26, 2 Na 3.31
In: 0.0000 0.5000 0.5000  6 In 3.26-3.31, 2 Na 3.26
In: 0.5000 0.0000 0.5000  2 Na 3.26, 6 In 3.26-3.31
In: 0.5000 0.5000 0.0000  6 In 3.26-3.31, 2 Na 3.26

Computed properties:
- ΔE_f: -0.036 eV per atom
- DOS at the Fermi energy: 0.58 states/eV per atom
- Space-group type: R-3m, No. 166